No. 1
Material: TaCoH
Method: DFT, PBE-GGA
State: relaxed

**E above lowest polymorph**: 0 meV/atom

Structure (POSCAR):
```
TaCoH
1.0
-0.058 -0.957 -2.688
0.036 -4.519 1.608
-4.408 1.351 1.130
Ta H Co
2 2 2
direct
0.114 0.334 0.228
0.886 0.666 0.772
0.238 0.770 0.475
0.762 0.230 0.525
0.376 0.138 0.751
0.624 0.862 0.249
```


No. 2
Material: NaPaReN3
Method: DFT, PBE-GGA
State: relaxed

**Formation energy without anion corrections**: -0.811 eV per atom

Structure (POSCAR):
```
NaPaReN3
1.0
-3.644 0.320 -1.244
0.029 -5.248 4.564
-0.815 5.676 3.850
N Na Re Pa
6 2 2 2
direct
0.842 0.684 0.209
0.495 0.991 0.712
0.167 0.333 0.383
0.505 0.009 0.288
0.833 0.667 0.617
0.158 0.316 0.791
0.361 0.721 0.928
0.639 0.279 0.072
0.997 0.994 0.679
0.003 0.006 0.321
0.338 0.677 0.397
0.662 0.323 0.603
```


No. 3
Material: CuGe2N
Method: DFT, PBE-GGA
State: relaxed

**Formation energy without anion corrections**: 0.322 eV per atom

Structure (POSCAR):
```
CuGe2N
1.0
-1.874 -4.018 2.869
3.643 0.946 3.704
-2.000 1.315 5.395
Ge Cu N
4 2 2
direct
0.375 0.427 0.750
0.573 0.125 0.250
0.875 0.823 0.750
0.177 0.625 0.250
0.750 0.250 0.500
0.000 0.000 0.000
0.500 0.500 0.000
0.250 0.750 0.500
```


| no. | total magnetic moment (μB per formula unit) |
| --- | --- |
| 1 | 0.00 |
| 2 | 0.00 |
| 3 | 0.00 |